Density functional theory data (PBE) for a relaxed structure of Rb3Pa2AgO9.

electronic total energy = -6.77 eV per atom
raw formation energy = -32.1 eV per formula unit
M_tot = 0.00 μB/cell

```
Rb3Pa2AgO9
1.0
6.0885 0.0000 0.0000
-3.0442 5.2728 0.0000
0.0000 0.0000 7.4387
Rb Pa Ag O
3 2 1 9
Cartesian
0.0000 0.0000 0.0000 Rb
0.0000 3.5152 4.9346 Rb
3.0443 1.7576 2.5041 Rb
0.0000 3.5152 1.3241 Pa
3.0443 1.7576 6.1146 Pa
0.0000 0.0000 3.7194 Ag
-1.5221 2.6364 0.0000 O
0.0000 1.7455 2.4807 O
-1.5326 4.4000 2.4807 O
1.5117 0.8728 4.9580 O
3.0442 0.0000 0.0000 O
1.5221 2.6364 0.0000 O
1.5326 4.4000 2.4807 O
4.5768 0.8728 4.9580 O
3.0442 3.5273 4.9580 O
```


Density functional theory data (PBE) for a relaxed structure of Rb4Pa3AgO12.

electronic total energy = -7.10 eV per atom
raw formation energy = -47.3 eV per formula unit
M_tot = 0.00 μB/cell
N(E_F) = 0.659 states/eV per atom

```
Rb4Pa3AgO12
1.0
-4.3653 4.3653 4.3653
4.3653 -4.3653 4.3653
4.3653 4.3653 -4.3653
Rb Pa Ag O
4 3 1 12
Cartesian
2.1827 2.1827 -2.1827 Rb
2.1827 -2.1827 2.1827 Rb
-2.1827 2.1827 2.1827 Rb
2.1827 2.1827 2.1827 Rb
4.3653 0.0000 0.0000 Pa
0.0000 4.3653 0.0000 Pa
0.0000 0.0000 4.3653 Pa
0.0000 0.0000 0.0000 Ag
2.2691 0.0000 0.0000 O
6.4616 0.0000 0.0000 O
4.3653 2.1827 0.0000 O
4.3653 0.0000 2.1827 O
0.0000 2.2691 0.0000 O
0.0000 0.0000 2.2691 O
2.1827 4.3653 0.0000 O
2.1827 0.0000 4.3653 O
0.0000 6.4616 0.0000 O
0.0000 0.0000 6.4616 O
0.0000 4.3653 2.1827 O
0.0000 2.1827 4.3653 O
```


Density functional theory data (PBE) for a relaxed structure of PaAgRhO5.

electronic total energy = -7.07 eV per atom
raw formation energy = -12.0 eV per formula unit
M_tot = 2.10 μB/cell
N(E_F) = 0.022 states/eV per atom

```
PaAgRhO5
1.0
3.8407 -5.2569 0.0000
3.8407 5.2569 0.0000
-2.7719 0.0000 7.2804
Pa Ag Rh O
2 2 2 10
Cartesian
1.9204 2.6284 0.0000 Pa
0.5344 -2.6284 3.6402 Pa
1.7618 5.0948 5.4603 Ag
3.1477 -5.0948 1.8201 Ag
1.7618 0.2799 5.4603 Rh
3.1477 -0.2799 1.8201 Rh
0.6274 3.8415 7.0116 O
2.8962 3.8415 3.9090 O
0.1618 0.9352 5.9441 O
3.1477 1.6229 1.8201 O
1.5477 -0.9352 2.3039 O
3.3618 0.9352 4.9765 O
1.7618 -1.6229 5.4603 O
4.7477 -0.9352 1.3363 O
2.0133 -3.8415 3.3714 O
4.2821 -3.8415 0.2688 O
```


Density functional theory data (PBE) for a relaxed structure of PaAgRhO4.

electronic total energy = -7.43 eV per atom
raw formation energy = -12.5 eV per formula unit
M_tot = 0.00 μB/cell
N(E_F) = 0.610 states/eV per atom

```
PaAgRhO4
1.0
-2.7626 3.4420 5.7465
2.7626 -3.4420 5.7465
2.7626 3.4420 -5.7465
Pa Ag Rh O
2 2 2 8
Cartesian
0.0000 0.0000 0.0000 Pa
0.0000 3.4420 0.0000 Pa
2.7626 1.7210 2.2015 Ag
0.0000 1.7210 3.5450 Ag
1.3813 1.7210 -2.8733 Rh
1.3813 -1.7210 2.8733 Rh
2.7626 3.0854 -3.5070 O
2.7626 -0.3567 3.5070 O
1.2862 1.7210 0.3311 O
1.4763 -1.7210 6.0776 O
1.2862 5.1631 -0.3311 O
1.4763 1.7210 5.4154 O
0.0000 3.7987 2.2396 O
0.0000 0.3567 9.2535 O
```


Density functional theory data (PBE) for a relaxed structure of PaAg2RhO6.

electronic total energy = -6.63 eV per atom
raw formation energy = -14.0 eV per formula unit
M_tot = 0.76 μB/cell
N(E_F) = 0.831 states/eV per atom

```
PaAg2RhO6
1.0
2.8214 1.6289 4.8112
-2.8214 1.6289 4.8112
0.0000 -3.2578 4.8112
Pa Ag Rh O
1 2 1 6
Cartesian
0.0000 0.0000 0.0000 Pa
0.0000 0.0000 3.6494 Ag
0.0000 0.0000 10.7842 Ag
0.0000 0.0000 7.2168 Rh
-1.5868 0.3371 6.0713 O
-1.0853 -1.2057 8.3624 O
0.5015 -1.5428 6.0713 O
-0.5015 1.5428 8.3624 O
1.0853 1.2057 6.0713 O
1.5868 -0.3371 8.3624 O
```


Density functional theory data (PBE) for a relaxed structure of PaAg2RhO8.

electronic total energy = -5.97 eV per atom
raw formation energy = -9.4 eV per formula unit
M_tot = 0.75 μB/cell
N(E_F) = 0.855 states/eV per atom

```
PaAg2RhO8
1.0
-3.3689 3.3689 3.5956
3.3689 -3.3689 3.5956
3.3689 3.3689 -3.5956
Pa Ag Rh O
1 2 1 8
Cartesian
0.0000 0.0000 0.0000 Pa
0.0000 0.0000 3.5956 Ag
0.0000 3.3689 1.7978 Ag
3.3689 0.0000 1.7978 Rh
2.0769 3.3689 -1.6493 O
1.2920 0.0000 1.9464 O
0.0000 2.2301 0.0060 O
3.3689 2.0769 1.6493 O
0.0000 4.5078 0.0060 O
0.0000 1.2920 5.2449 O
-1.1389 3.3689 3.5896 O
1.1389 3.3689 3.5896 O
```